1.
Computed, not measured: an optimized crystal structure of TcHg2O5 at the PBE level of DFT.

Cell and atoms, written as POSCAR:
```
TcHg2O5
1.0
-3.3297 3.3297 4.1056
3.3297 -3.3297 4.1056
3.3297 3.3297 -4.1056
Tc Hg O
1 2 5
direct
0.0000 0.0000 0.0000
0.0783 0.5783 0.5000
0.5783 0.0783 0.5000
0.2188 0.3025 0.3764
0.3025 0.9260 0.0837
0.7925 0.7925 0.0000
0.8424 0.2188 0.9163
0.9260 0.8424 0.6236
```

Properties
- Offset from the most stable computed form: 0 meV per atom
- D(E_F): 1.15 states/eV per cell
- ΔE_f (raw): -6.2 eV per formula unit
- Electronic total energy: -42.00 eV/cell
- SG: I4
- Size of the total moment: 0.86 μB per formula unit

***

2.
Computed, not measured: an optimized crystal structure of TcHgO4 at the PBE level of DFT.

Cell and atoms, written as POSCAR:
```
TcHgO4
1.0
7.2881 0.0000 0.0000
0.0000 5.4341 0.0000
0.0000 0.0000 5.4956
Tc Hg O
2 2 8
direct
0.0000 0.1355 0.0000
0.5000 0.8645 0.5000
0.0000 0.5897 0.4646
0.5000 0.4103 0.9646
0.0000 0.1846 0.6849
0.0000 0.8196 0.0611
0.1956 0.2742 0.1298
0.3044 0.7258 0.6298
0.5000 0.1804 0.5611
0.5000 0.8154 0.1849
0.6956 0.7258 0.6298
0.8044 0.2742 0.1298
```

Properties
- Offset from the most stable computed form: 0 meV per atom
- D(E_F): 5.09 states/eV per cell
- ΔE_f (raw): -5.9 eV per formula unit
- Electronic total energy: -72.72 eV/cell
- SG: Pmn2_1
- Size of the total moment: 0.00 μB per formula unit

***

3.
Computed, not measured: an optimized crystal structure of Tc3HgO at the PBE level of DFT.

Cell and atoms, written as POSCAR:
```
Tc3HgO
1.0
5.1886 0.0000 0.0000
0.0000 5.1886 0.0000
0.0000 0.0000 5.1886
Tc Hg O
3 1 1
direct
0.0000 0.0000 0.5000
0.0000 0.5000 0.0000
0.5000 0.0000 0.0000
0.0000 0.0000 0.0000
0.5000 0.5000 0.5000
```

Properties
- Offset from the most stable computed form: 2609 meV per atom
- D(E_F): 5.87 states/eV per cell
- ΔE_f (raw): 14.3 eV per formula unit
- Electronic total energy: -22.01 eV/cell
- SG: Pm-3m
- Size of the total moment: 12.38 μB per formula unit

***

4.
Computed, not measured: an optimized crystal structure of TcHg3O at the PBE level of DFT.

Cell and atoms, written as POSCAR:
```
TcHg3O
1.0
5.3934 0.0000 0.0000
0.0000 5.3934 0.0000
0.0000 0.0000 5.3934
Tc Hg O
1 3 1
direct
0.0000 0.0000 0.0000
0.0000 0.0000 0.5000
0.0000 0.5000 0.0000
0.5000 0.0000 0.0000
0.5000 0.5000 0.5000
```

Properties
- Offset from the most stable computed form: 132 meV per atom
- D(E_F): 4.16 states/eV per cell
- ΔE_f (raw): 5.4 eV per formula unit
- Electronic total energy: -10.87 eV/cell
- SG: Pm-3m
- Size of the total moment: 4.20 μB per formula unit

***

5.
Computed, not measured: an optimized crystal structure of Tc2HgO6 at the PBE level of DFT.

Cell and atoms, written as POSCAR:
```
Tc2HgO6
1.0
5.0170 -2.0034 0.0000
5.0170 2.0034 0.0000
-2.6340 0.0000 6.1847
Tc Hg O
2 1 6
direct
0.1785 0.1785 0.1112
0.8215 0.8215 0.8888
0.0000 0.0000 0.5000
0.0009 0.0009 0.8245
0.2982 0.2982 0.9361
0.2986 0.2986 0.3810
0.7014 0.7014 0.6190
0.7018 0.7018 0.0639
0.9991 0.9991 0.1755
```

Properties
- D(E_F): 3.44 states/eV per cell
- ΔE_f (raw): -9.2 eV per formula unit
- Electronic total energy: -59.95 eV/cell
- SG: C2/m
- Size of the total moment: 0.00 μB per formula unit

***

6.
Computed, not measured: an optimized crystal structure of Tc2HgO at the PBE level of DFT.

Cell and atoms, written as POSCAR:
```
Tc2HgO
1.0
-2.3697 2.3697 6.5596
2.3697 -2.3697 6.5596
2.3697 2.3697 -6.5596
Tc Hg O
4 2 2
direct
0.3750 0.1720 0.2970
0.8280 0.1250 0.2030
0.8750 0.0780 0.7030
0.9220 0.6250 0.7970
0.2500 0.7500 0.5000
0.5000 0.5000 0.0000
0.0000 0.0000 0.0000
0.7500 0.2500 0.5000
```

Properties
- Offset from the most stable computed form: 0 meV per atom
- D(E_F): 7.62 states/eV per cell
- ΔE_f (raw): 1.7 eV per formula unit
- Electronic total energy: -48.64 eV/cell
- SG: I-42d
- Size of the total moment: 1.67 μB per formula unit